Record 1
The following is a GGA-PBE calculation of a geometry-optimized LiSbRh2 structure, from Alexandria.

## Properties
- ΔE_f (raw): -0.293 eV/atom
- Space group: No. 25

abc: 4.540 3.054 4.492
angles: 90.02 90.00 90.00
Sites, in units of the cell vectors:
Li1 0.500 0.876 0.729
Rh1 0.000 0.875 0.018
Rh2 0.500 0.375 0.224
Sb1 0.000 0.375 0.528

***

Record 2
The following is a GGA-PBE calculation of a geometry-optimized BaFeCu2 structure, from Alexandria.

## Properties
- Energy relative to the elements: 76 kJ/mol of atoms
- Space group: No. 216

abc: 4.909 4.909 4.909
angles: 60.00 60.00 60.00
Sites, in units of the cell vectors:
Ba1 0.500 0.500 0.500
Cu1 0.000 0.000 0.000
Cu2 0.250 0.250 0.250
Fe1 0.750 0.750 0.750

***

Record 3
The following is a GGA-PBE calculation of a geometry-optimized NbCuH2Os structure, from Alexandria.

## Properties
- Total energy: -5.706 eV/atom
- Space group: No. 123

abc: 3.497 4.780 3.497
angles: 90.00 90.00 90.00
Sites, in units of the cell vectors:
H1 0.000 0.000 0.500
H2 0.500 0.000 0.000
Nb1 0.500 0.500 0.500
Os1 0.000 0.000 0.000
Cu1 0.000 0.500 0.000

***

Record 4
The following is a GGA-PBE calculation of a geometry-optimized BaCd2Pb2O7 structure, from Alexandria.

## Properties
- ΔE_f (raw): -1.196 eV/atom
- Space group: No. 44

abc: 4.506 4.575 9.769
angles: 103.54 103.33 90.00
Sites, in units of the cell vectors:
Ba1 0.000 0.039 0.000
Cd1 0.252 0.755 0.505
Cd2 0.748 0.251 0.495
Pb1 0.387 0.402 0.774
Pb2 0.613 0.627 0.226
O1 0.384 0.884 0.767
O2 0.730 0.732 0.461
O3 0.114 0.614 0.229
O4 0.616 0.117 0.233
O5 0.270 0.271 0.539
O6 0.886 0.385 0.771
O7 0.500 0.423 0.000